*A*
A plane-wave DFT calculation with PBE was carried out for a relaxed Ir2S crystal.

The structure belongs to space group R3m (No. 160, hexagonal axes); the cell edges are 3.7405, 3.7405 and 13.6882 Å and the angles 90.00°, 90.00° and 120.00°. The distinct sites, in fractional coordinates, are Ir at (0.0000, 0.0000, 0.0000), Ir at (0.0000, 0.0000, 0.4279) and S at (0.0000, 0.0000, 0.8391).

The crystal system is trigonal. The density is 12.5 g/cm3.


*B*
A plane-wave DFT calculation with PBE was carried out for a relaxed Ir2S crystal.

The structure belongs to space group P-4m2 (No. 115); the cell edges are 2.907, 2.907 and 5.448 Å and the angles 90.00°, 90.00° and 90.00°. The distinct sites, in fractional coordinates, are Ir at (0.000, 0.500, 0.182) and S at (0.500, 0.500, 0.500).

The crystal system is tetragonal. The density is 15.0 g/cm3.


Most stable pick: *B*. Distance to second place: 0.158 eV/atom.


*A*
A plane-wave DFT calculation with PBE was carried out for a relaxed Ir2S crystal.

The structure belongs to space group P1 (No. 1); the cell edges are 3.690, 3.844 and 3.941 Å and the angles 64.47°, 74.49° and 89.80°. The distinct sites, in fractional coordinates, are Ir at (0.000, 0.000, 0.000), Ir at (0.417, 0.405, 0.200) and S at (0.671, 0.925, 0.613).

The crystal system is triclinic. The density is 14.3 g/cm3.


*B*
A plane-wave DFT calculation with PBE was carried out for a relaxed Ir2S crystal.

The structure belongs to space group P3m1 (No. 156); the cell edges are 2.9620, 2.9620 and 6.0114 Å and the angles 90.00°, 90.00° and 120.00°. The distinct sites, in fractional coordinates, are Ir at (0.0000, 0.0000, 0.0000), Ir at (0.3333, 0.6667, 0.3706) and S at (0.0000, 0.0000, 0.6357).

The crystal system is trigonal. The density is 15.1 g/cm3.


*C*
A plane-wave DFT calculation with PBE was carried out for a relaxed Ir2S crystal.

The structure belongs to space group Pm (No. 6); the cell edges are 3.791, 3.301 and 3.863 Å and the angles 90.00°, 109.53° and 90.00°. The distinct sites, in fractional coordinates, are Ir at (0.000, 0.000, 0.000), Ir at (0.383, 0.500, 0.606) and S at (0.739, 0.500, 0.232).

The crystal system is monoclinic. The density is 15.2 g/cm3.


*D*
A plane-wave DFT calculation with PBE was carried out for a relaxed Ir2S crystal.

The structure belongs to space group R-3m (No. 166, hexagonal axes); the cell edges are 2.7740, 2.7740 and 20.3484 Å and the angles 90.00°, 90.00° and 120.00°. The distinct sites, in fractional coordinates, are Ir at (0.0000, 0.0000, 0.1118) and S at (0.0000, 0.0000, 0.0000).

The crystal system is trigonal. The density is 15.3 g/cm3.


Most stable pick: *B*. Distance to second place: 0.017 eV/atom.


*A*
A plane-wave DFT calculation with PBE was carried out for a relaxed Sb2IrSeS crystal.

The structure belongs to space group P4/mmm (No. 123); the cell edges are 5.077, 5.077 and 4.592 Å and the angles 90.00°, 90.00° and 90.00°. The distinct sites, in fractional coordinates, are Sb at (0.000, 0.500, 0.000), Ir at (0.000, 0.000, 0.500), Se at (0.500, 0.500, 0.500) and S at (0.500, 0.500, 0.000).

The crystal system is tetragonal. The density is 7.7 g/cm3.


*B*
A plane-wave DFT calculation with PBE was carried out for a relaxed Sb2IrSeS crystal.

The structure belongs to space group P4/mmm (No. 123); the cell edges are 5.418, 5.418 and 4.332 Å and the angles 90.00°, 90.00° and 90.00°. The distinct sites, in fractional coordinates, are Sb at (0.000, 0.500, 0.000), Ir at (0.000, 0.000, 0.000), Se at (0.500, 0.500, 0.500) and S at (0.000, 0.000, 0.500).

The crystal system is tetragonal. The density is 7.1 g/cm3.


Most stable pick: *B*. Distance to second place: 0.738 eV/atom.


*A*
A plane-wave DFT calculation with PBE was carried out for a relaxed ScIrS3 crystal.

The structure belongs to space group Pm-3m (No. 221); the cell edges are 4.636, 4.636 and 4.636 Å and the angles 90.00°, 90.00° and 90.00°. The distinct sites, in fractional coordinates, are Sc at (0.000, 0.000, 0.000), Ir at (0.500, 0.500, 0.500) and S at (0.000, 0.500, 0.500).

The crystal system is cubic. The density is 5.6 g/cm3.


*B*
A plane-wave DFT calculation with PBE was carried out for a relaxed ScIrS3 crystal.

The structure belongs to space group Pm-3m (No. 221); the cell edges are 4.807, 4.807 and 4.807 Å and the angles 90.00°, 90.00° and 90.00°. The distinct sites, in fractional coordinates, are Sc at (0.000, 0.000, 0.000), Ir at (0.500, 0.500, 0.500) and S at (0.000, 0.000, 0.500).

The crystal system is cubic. The density is 5.0 g/cm3.


Most stable pick: *A*. Distance to second place: 0.660 eV/atom.


*A*
A plane-wave DFT calculation with PBE was carried out for a relaxed Sc3IrS crystal.

The structure belongs to space group Pm-3m (No. 221); the cell edges are 4.691, 4.691 and 4.691 Å and the angles 90.00°, 90.00° and 90.00°. The distinct sites, in fractional coordinates, are Sc at (0.000, 0.000, 0.500), Ir at (0.500, 0.500, 0.500) and S at (0.000, 0.000, 0.000).

The crystal system is cubic. The density is 5.8 g/cm3.


*B*
A plane-wave DFT calculation with PBE was carried out for a relaxed Sc3IrS crystal.

The structure belongs to space group Pm-3m (No. 221); the cell edges are 5.027, 5.027 and 5.027 Å and the angles 90.00°, 90.00° and 90.00°. The distinct sites, in fractional coordinates, are Sc at (0.000, 0.000, 0.500), Ir at (0.000, 0.000, 0.000) and S at (0.500, 0.500, 0.500).

The crystal system is cubic. The density is 4.7 g/cm3.


Most stable pick: *A*. Distance to second place: 0.203 eV/atom.


*A*
A plane-wave DFT calculation with PBE was carried out for a relaxed Ir2Se2S crystal.

The structure belongs to space group I4/mmm (No. 139); the cell edges are 4.171, 4.171 and 10.778 Å and the angles 90.00°, 90.00° and 90.00°. The distinct sites, in fractional coordinates, are Ir at (0.000, 0.000, 0.119), Se at (0.000, 0.500, 0.250) and S at (0.000, 0.000, 0.500).

The crystal system is tetragonal. The density is 10.2 g/cm3.


*B*
A plane-wave DFT calculation with PBE was carried out for a relaxed Ir2Se2S crystal.

The structure belongs to space group P4/mbm (No. 127); the cell edges are 7.237, 7.237 and 3.256 Å and the angles 90.00°, 90.00° and 90.00°. The distinct sites, in fractional coordinates, are Ir at (0.136, 0.364, 0.000), Se at (0.152, 0.652, 0.500) and S at (0.000, 0.000, 0.000).

The crystal system is tetragonal. The density is 11.2 g/cm3.


Most stable pick: *B*. Distance to second place: 0.036 eV/atom.


*A*
A plane-wave DFT calculation with PBE was carried out for a relaxed Ir2SeS crystal.

The structure belongs to space group Fm-3m (No. 225); the cell edges are 6.241, 6.241 and 6.241 Å and the angles 90.00°, 90.00° and 90.00°. The distinct sites, in fractional coordinates, are Ir at (0.250, 0.250, 0.250), Se at (0.000, 0.000, 0.000) and S at (0.000, 0.000, 0.500).

The crystal system is cubic. The density is 13.5 g/cm3.


*B*
A plane-wave DFT calculation with PBE was carried out for a relaxed Ir2SeS crystal.

The structure belongs to space group I-42d (No. 122); the cell edges are 4.689, 4.689 and 13.559 Å and the angles 90.00°, 90.00° and 90.00°. The distinct sites, in fractional coordinates, are Ir at (0.193, 0.250, 0.125), Se at (0.000, 0.000, 0.500) and S at (0.000, 0.000, 0.000).

The crystal system is tetragonal. The density is 11.0 g/cm3.


Most stable pick: *B*. Distance to second place: 0.484 eV/atom.


*A*
A plane-wave DFT calculation with PBE was carried out for a relaxed IrSeS crystal.

The structure belongs to space group P3m1 (No. 156); the cell edges are 3.6315, 3.6315 and 5.1414 Å and the angles 90.00°, 90.00° and 120.00°. The distinct sites, in fractional coordinates, are Ir at (0.0000, 0.0000, 0.0000), Se at (0.3333, 0.6667, 0.7295) and S at (0.6667, 0.3333, 0.2169).

The crystal system is trigonal. The density is 8.6 g/cm3.


*B*
A plane-wave DFT calculation with PBE was carried out for a relaxed IrSeS crystal.

The structure belongs to space group P2_1/c (No. 14); the cell edges are 6.285, 5.853 and 6.260 Å and the angles 90.00°, 106.51° and 90.00°. The distinct sites, in fractional coordinates, are Ir at (0.237, 0.011, 0.247), Se at (0.362, 0.631, 0.141) and S at (0.130, 0.134, 0.870).

The crystal system is monoclinic. The density is 9.1 g/cm3.


Most stable pick: *B*. Distance to second place: 0.009 eV/atom.


*A*
A plane-wave DFT calculation with PBE was carried out for a relaxed SnIrSe2S crystal.

The structure belongs to space group P4/mmm (No. 123); the cell edges are 4.691, 4.691 and 5.160 Å and the angles 90.00°, 90.00° and 90.00°. The distinct sites, in fractional coordinates, are Sn at (0.000, 0.000, 0.000), Ir at (0.500, 0.500, 0.000), Se at (0.000, 0.500, 0.500) and S at (0.000, 0.000, 0.500).

The crystal system is tetragonal. The density is 7.3 g/cm3.


*B*
A plane-wave DFT calculation with PBE was carried out for a relaxed SnIrSe2S crystal.

The structure belongs to space group P4/mmm (No. 123); the cell edges are 5.251, 5.251 and 5.100 Å and the angles 90.00°, 90.00° and 90.00°. The distinct sites, in fractional coordinates, are Sn at (0.000, 0.000, 0.000), Ir at (0.000, 0.000, 0.500), Se at (0.000, 0.500, 0.000) and S at (0.500, 0.500, 0.500).

The crystal system is tetragonal. The density is 5.9 g/cm3.


Most stable pick: *A*. Distance to second place: 0.381 eV/atom.


*A*
A plane-wave DFT calculation with PBE was carried out for a relaxed ZrIrSeS2 crystal.

The structure belongs to space group P4/mmm (No. 123); the cell edges are 4.855, 4.855 and 5.339 Å and the angles 90.00°, 90.00° and 90.00°. The distinct sites, in fractional coordinates, are Zr at (0.000, 0.000, 0.000), Ir at (0.500, 0.500, 0.500), Se at (0.000, 0.000, 0.500) and S at (0.000, 0.500, 0.000).

The crystal system is tetragonal. The density is 5.6 g/cm3.


*B*
A plane-wave DFT calculation with PBE was carried out for a relaxed ZrIrSeS2 crystal.

The structure belongs to space group P4/mmm (No. 123); the cell edges are 4.671, 4.671 and 4.668 Å and the angles 90.00°, 90.00° and 90.00°. The distinct sites, in fractional coordinates, are Zr at (0.000, 0.000, 0.000), Ir at (0.500, 0.500, 0.000), Se at (0.500, 0.500, 0.500) and S at (0.000, 0.500, 0.500).

The crystal system is tetragonal. The density is 7.0 g/cm3.


Most stable pick: *A*. Distance to second place: 0.090 eV/atom.


*A*
A plane-wave DFT calculation with PBE was carried out for a relaxed SnIr3S crystal.

The structure belongs to space group Pm-3m (No. 221); the cell edges are 4.900, 4.900 and 4.900 Å and the angles 90.00°, 90.00° and 90.00°. The distinct sites, in fractional coordinates, are Sn at (0.000, 0.000, 0.000), Ir at (0.000, 0.000, 0.500) and S at (0.500, 0.500, 0.500).

The crystal system is cubic. The density is 10.3 g/cm3.


*B*
A plane-wave DFT calculation with PBE was carried out for a relaxed SnIr3S crystal.

The structure belongs to space group Pm-3m (No. 221); the cell edges are 4.493, 4.493 and 4.493 Å and the angles 90.00°, 90.00° and 90.00°. The distinct sites, in fractional coordinates, are Sn at (0.000, 0.000, 0.000), Ir at (0.000, 0.500, 0.500) and S at (0.500, 0.500, 0.500).

The crystal system is cubic. The density is 13.3 g/cm3.


Most stable pick: *B*. Distance to second place: 1.480 eV/atom.


*A*
A plane-wave DFT calculation with PBE was carried out for a relaxed Sn3IrS crystal.

The structure belongs to space group Pm-3m (No. 221); the cell edges are 5.130, 5.130 and 5.130 Å and the angles 90.00°, 90.00° and 90.00°. The distinct sites, in fractional coordinates, are Sn at (0.000, 0.000, 0.500), Ir at (0.000, 0.000, 0.000) and S at (0.500, 0.500, 0.500).

The crystal system is cubic. The density is 7.1 g/cm3.


*B*
A plane-wave DFT calculation with PBE was carried out for a relaxed Sn3IrS crystal.

The structure belongs to space group Pm-3m (No. 221); the cell edges are 5.061, 5.061 and 5.061 Å and the angles 90.00°, 90.00° and 90.00°. The distinct sites, in fractional coordinates, are Sn at (0.000, 0.000, 0.500), Ir at (0.500, 0.500, 0.500) and S at (0.000, 0.000, 0.000).

The crystal system is cubic. The density is 7.4 g/cm3.


*C*
A plane-wave DFT calculation with PBE was carried out for a relaxed Sn3IrS crystal.

The structure belongs to space group C2/c (No. 15); the cell edges are 11.998, 7.162 and 12.032 Å and the angles 90.00°, 109.32° and 90.00°. The distinct sites, in fractional coordinates, are Sn at (0.047, 0.189, 0.047), Sn at (0.149, 0.499, 0.845), Sn at (0.169, 0.001, 0.837), Ir at (0.000, 0.242, 0.250), Ir at (0.250, 0.250, 0.000) and S at (0.145, 0.263, 0.649).

The crystal system is monoclinic. The density is 7.9 g/cm3.


Most stable pick: *C*. Distance to second place: 0.369 eV/atom.